Record 1
VASP calculation (PBE-GGA) on an optimized crystal structure of LaCe2In.

abc: 5.3837 5.3837 14.1356
angles: 90.00 90.00 120.00
Space group R3m (No. 160, hexagonal axes)
Symmetry-distinct sites (fractional):
La  0.0000  0.0000  0.0000
Ce  0.0000  0.0000  0.1984
Ce  0.0000  0.0000  0.5051
In  0.0000  0.0000  0.7537

Density = 7.5 g cm⁻³
Total energy = -4.990 eV per atom
E above lowest polymorph = 86 meV per atom

Record 2
VASP calculation (PBE-GGA) on an optimized crystal structure of AcCe2HoP4.

abc: 7.194 4.158 7.217
angles: 90.00 109.41 90.00
Space group P2/m (No. 10)
Symmetry-distinct sites (fractional):
Ac  0.000  0.000  0.000
Ce  0.500  0.000  0.500
Ce  0.500  0.500  0.000
Ho  0.000  0.500  0.500
P  0.254  0.000  0.739
P  0.264  0.500  0.268

Density = 6.5 g cm⁻³
Total energy = -6.746 eV per atom

Record 3
VASP calculation (PBE-GGA) on an optimized crystal structure of Na2TaMoIr.

abc: 5.280 5.280 4.600
angles: 90.00 90.00 90.00
Space group P4/mmm (No. 123)
Symmetry-distinct sites (fractional):
Na  0.000  0.500  0.000
Ta  0.000  0.000  0.000
Mo  0.000  0.000  0.500
Ir  0.500  0.500  0.500

Density = 6.7 g cm⁻³
Total energy = -4.531 eV per atom

no.,formation energy (eV per formula unit)
1,-0.4
2,-11.8
3,11.5